Entry from the Alexandria database: a relaxed structure of Cs2Tl3Sb (PBE).

Summary:
- ΔE_f (raw): -217 meV/atom

abc: 15.5496 8.1771 8.7879
angles: 90.00 106.39 90.00
Space group C2/c (No. 15)
Inequivalent atoms, fractional coordinates:
Cs1 0.1559 0.0020 0.0781 x8
Tl1 0.0000 0.3012 0.2500 x4
Tl2 0.1211 0.4988 0.5604 x8
Sb1 0.0000 0.3084 0.7500 x4

***

Entry from the Alexandria database: a relaxed structure of LaDy6Y12 (PBE).

Summary:
- Distance to the lowest polymorph of the same formula: 0 meV/atom
- E_form: 0.0246 eV/atom

abc: 15.5674 15.5674 8.7560
angles: 90.00 90.00 120.00
Space group R-3 (No. 148, hexagonal axes)
Inequivalent atoms, fractional coordinates:
La1 0.0000 0.0000 0.0000 x3
Dy1 0.0355 0.7545 0.3328 x18
Y1 0.0174 0.8759 0.6649 x18
Y2 0.0687 0.5079 0.6678 x18

***

Entry from the Alexandria database: a relaxed structure of Fe2CoNi (PBE).

Summary:
- Distance to the lowest polymorph of the same formula: 6 meV/atom
- E_form: -0.0057 eV/atom

abc: 2.5289 3.5118 5.1147
angles: 90.00 90.00 90.00
Space group Pmmm (No. 47)
Inequivalent atoms, fractional coordinates:
Fe1 0.0000 0.0000 0.2489 x2
Co1 0.5000 0.5000 0.0000 x1
Ni1 0.5000 0.5000 0.5000 x1

***

Entry from the Alexandria database: a relaxed structure of MoIr2Se (PBE).

Summary:
- ΔE_f (raw): 319 meV/atom

abc: 2.9212 4.5168 9.3890
angles: 90.00 90.00 90.00
Space group Imm2 (No. 44)
Inequivalent atoms, fractional coordinates:
Mo1 0.0000 0.0000 0.0000 x2
Ir1 0.0000 0.0000 0.4506 x2
Ir2 0.0000 0.5000 0.2424 x2
Se1 0.0000 0.5000 0.7247 x2

***

Number 1: Fermi-level density of states 2.70 states/eV/f.u., raw total energy -2.37 eV per atom, M_tot 0.0 μB/f.u.. Number 2: Fermi-level density of states 28.60 states/eV/f.u., raw total energy -5.77 eV per atom, M_tot 0.0 μB/f.u.. Number 3: Fermi-level density of states 4.14 states/eV/f.u., raw total energy -7.46 eV per atom, M_tot 7.4 μB/f.u.. Number 4: Fermi-level density of states 3.95 states/eV/f.u., raw total energy -7.69 eV per atom, M_tot 0.0 μB/f.u..